No. 1
A geometry-optimized SeSCl2O structure. Source: Alexandria, functional PBEsol.

Structure (extended XYZ):
```
5
Lattice="4.579 0.000 0.000 0.000 4.579 0.000 0.000 0.000 3.941" Properties=species:S:1:pos:R:3 pbc="T T T"
Se 0.000 0.000 0.000
S 2.289 2.289 0.000
Cl 0.000 2.289 1.971
Cl 2.289 0.000 1.971
O 2.289 2.289 1.971
```


No. 2
A geometry-optimized TaSCl7O structure. Source: Alexandria, functional PBEsol.

Structure (extended XYZ):
```
40
Lattice="16.574 0.000 0.000 0.000 8.952 0.000 0.000 0.000 7.319" Properties=species:S:1:pos:R:3 pbc="T T T"
Ta 2.262 2.238 0.010
Ta 6.025 6.714 3.669
Ta 10.548 2.238 3.650
Ta 14.312 6.714 7.309
S 2.651 6.714 4.897
S 5.636 2.238 1.238
S 10.938 6.714 6.081
S 13.923 2.238 2.422
Cl 0.320 2.238 6.186
Cl 1.328 2.238 2.160
Cl 2.036 5.148 3.734
Cl 2.036 8.281 3.734
Cl 2.461 4.554 0.149
Cl 2.461 8.874 0.149
Cl 3.647 2.238 5.491
Cl 4.640 6.714 1.831
Cl 5.825 0.078 3.808
Cl 5.825 4.398 3.808
Cl 6.251 0.672 0.075
Cl 6.251 3.805 0.075
Cl 6.959 6.714 5.819
Cl 7.967 6.714 2.526
Cl 8.607 2.238 4.793
Cl 9.615 2.238 1.500
Cl 10.323 5.148 7.244
Cl 10.323 8.281 7.244
Cl 10.748 4.554 3.511
Cl 10.748 8.874 3.511
Cl 11.934 2.238 5.488
Cl 12.927 6.714 1.828
Cl 14.112 0.078 7.170
Cl 14.112 4.398 7.170
Cl 14.537 0.672 3.585
Cl 14.537 3.805 3.585
Cl 15.245 6.714 5.159
Cl 16.253 6.714 1.133
O 4.131 6.714 4.861
O 4.155 2.238 1.202
O 12.418 6.714 6.117
O 12.442 2.238 2.458
```


Values of formation energy (no corrections), in order: 0.80; -1.03, all in eV/atom.
Values of E, in order: -13.5; -186.3, all in eV for the cell shown.